Computed, not measured: a crystal of LiLaSbI2 relaxed with PBEsol at the SCAN level of DFT.

Lattice parameters (Å, degrees): 6.0698 6.1815 6.1815 90.00 90.00 90.00
Last column: nearest neighbours and their distance in Å.
Element x y z (fractional)
I 0.0000 0.0000 0.5000  2 La 3.09
I 0.0000 0.5000 0.0000  2 La 3.09
Sb 0.5000 0.0000 0.0000  2 La 3.03
Li 0.5000 0.5000 0.5000  8 I 4.33, 4 Sb 4.37
La 0.0000 0.0000 0.0000  2 Sb 3.03, 4 I 3.09

Computed properties:
space-group type = P4/mmm
spin magnetization = 0.907 Bohr magnetons per cell
raw formation energy = -661 meV per atom
V = 231.9 Å³ per cell